(1)
The following is a PBE calculation of a geometry-optimized HfSc2Cr structure, from Alexandria via LeMat-Bulk.

Output
Its crystal system is trigonal. The calculated total energy is -7.618 eV/atom. The density of states at the Fermi level is 0.881 states/eV per atom. The total moment is 2.5 μB/f.u. The formation energy comes out at 0.442 eV per atom. The value obtained for the energy relative to the lowest polymorph listed for this composition is 0 meV/atom.

Lattice parameters (Å, degrees): 3.0491 3.0491 31.0878 90.00 90.00 120.00
Closest atoms and distances in Å follow each position.
Space group R-3m (No. 166, hexagonal axes)
Inequivalent atoms, fractional coordinates:
Hf (0.0000, 0.0000, 0.0000) [3 per cell]  2 Sc 3.04, 6 Hf 3.05
Sc (0.0000, 0.0000, 0.0977) [6 per cell]  3 Cr 2.77, 1 Hf 3.04, 6 Sc 3.05
Cr (0.0000, 0.0000, 0.5000) [3 per cell]  6 Sc 2.77, 6 Cr 3.05

(2)
The following is a PBE calculation of a geometry-optimized BaSi2Hg structure, from Alexandria via LeMat-Bulk.

Output
Its crystal system is monoclinic. The calculated total energy is -3.365 eV/atom. The density of states at the Fermi level is 0.536 states/eV per atom. The total moment is 0.0 μB/f.u. The formation energy (no corrections) is -0.098 eV per atom.

Lattice parameters (Å, degrees): 4.2676 3.8399 6.9659 90.00 107.82 90.00
Closest atoms and distances in Å follow each position.
Space group Pm (No. 6)
Inequivalent atoms, fractional coordinates:
Ba (0.0000, 0.0000, 0.0000) [1 per cell]  5 Si 3.38-3.45, 4 Hg 3.71
Si (0.6373, 0.5000, 0.2716) [1 per cell]  2 Si 2.37
Si (0.7404, 0.0000, 0.4800) [1 per cell]  2 Si 2.37
Hg (0.3230, 0.5000, 0.6455) [1 per cell]  6 Si 3.07-3.27

(3)
The following is a PBE calculation of a geometry-optimized PmPrGdCd structure, from Alexandria via LeMat-Bulk.

Output
Its crystal system is cubic. The calculated total energy is -6.183 eV/atom. The density of states at the Fermi level is 1.560 states/eV per atom. The total moment is 7.8 μB/f.u. The formation energy comes out at -0.052 eV per atom. The value obtained for the energy relative to the lowest polymorph listed for this composition is 0 meV/atom.

Lattice parameters (Å, degrees): 7.8797 7.8797 7.8797 90.00 90.00 90.00
Closest atoms and distances in Å follow each position.
Space group F-43m (No. 216)
Inequivalent atoms, fractional coordinates:
Pm (0.0000, 0.0000, 0.0000) [4 per cell]  4 Cd 3.41, 4 Gd 3.41
Pr (0.0000, 0.0000, 0.5000) [4 per cell]  4 Gd 3.41, 4 Cd 3.41
Gd (0.2500, 0.2500, 0.2500) [4 per cell]  4 Pm 3.41, 4 Pr 3.41
Cd (0.2500, 0.2500, 0.7500) [4 per cell]  4 Pr 3.41, 4 Pm 3.41

(4)
The following is a PBE calculation of a geometry-optimized Tb2ScI6 structure, from Alexandria via LeMat-Bulk.

Output
Its crystal system is monoclinic. The calculated total energy is -3.910 eV/atom. The density of states at the Fermi level is 0.467 states/eV per atom. The total moment is 0.0 μB/f.u. The formation energy (no corrections) is -1.145 eV per atom.

Lattice parameters (Å, degrees): 16.2033 4.0738 12.8769 90.00 121.44 90.00
Closest atoms and distances in Å follow each position.
Space group C2/m (No. 12)
Inequivalent atoms, fractional coordinates:
Tb (0.1714, 0.0000, 0.2841) [4 per cell]  7 I 3.10-3.33
Sc (0.0000, 0.5000, 0.0000) [2 per cell]  4 I 2.89-2.90
I (0.0095, 0.5000, 0.2314) [4 per cell]  1 Sc 2.90, 2 Tb 3.10
I (0.1659, 0.0000, 0.5391) [4 per cell]  3 Tb 3.17-3.33
I (0.2085, 0.5000, 0.1252) [4 per cell]  1 Sc 2.89, 2 Tb 3.16

(5)
The following is a PBE calculation of a geometry-optimized PuGa4Ni2Ru structure, from Alexandria via LeMat-Bulk.

Output
Its crystal system is trigonal. The calculated total energy is -6.246 eV/atom. The density of states at the Fermi level is 1.377 states/eV per atom. The total moment is 5.5 μB/f.u. The formation energy comes out at -0.336 eV per atom.

Lattice parameters (Å, degrees): 4.1140 4.1140 26.5846 90.00 90.00 120.00
Closest atoms and distances in Å follow each position.
Space group R-3m (No. 166, hexagonal axes)
Inequivalent atoms, fractional coordinates:
Pu (0.0000, 0.0000, 0.0000) [3 per cell]  6 Ga 3.01
Ga (0.0000, 0.0000, 0.1300) [6 per cell]  4 Ni 2.49-2.70, 3 Ru 2.57
Ga (0.0000, 0.0000, 0.4026) [6 per cell]  3 Ni 2.53, 1 Ru 2.59
Ni (0.0000, 0.0000, 0.2316) [6 per cell]  7 Ga 2.49-2.70
Ru (0.0000, 0.0000, 0.5000) [3 per cell]  8 Ga 2.57-2.59

(6)
The following is a PBE calculation of a geometry-optimized ScCoGe2 structure, from Alexandria via LeMat-Bulk.

Output
Its crystal system is monoclinic. The calculated total energy is -6.059 eV/atom. The density of states at the Fermi level is 0.689 states/eV per atom. The total moment is 0.0 μB/f.u. The formation energy comes out at -0.391 eV per atom.

Lattice parameters (Å, degrees): 6.9068 6.9083 5.4967 90.00 91.64 90.00
Closest atoms and distances in Å follow each position.
Space group P2_1/c (No. 14)
Inequivalent atoms, fractional coordinates:
Sc (0.1431, 0.0998, 0.2437) [4 per cell]  6 Ge 2.74-2.83
Co (0.3514, 0.5217, 0.2794) [4 per cell]  6 Ge 2.42-2.53
Ge (0.1655, 0.7435, 0.0122) [4 per cell]  2 Co 2.45-2.46, 1 Ge 2.59, 2 Sc 2.74
Ge (0.4603, 0.2340, 0.5039) [4 per cell]  4 Co 2.42-2.53, 1 Ge 2.59

(7)
The following is a PBE calculation of a geometry-optimized AlTlO2 structure, from Alexandria via LeMat-Bulk.

Output
Its crystal system is cubic. The calculated total energy is -4.259 eV/atom. The density of states at the Fermi level is 0.701 states/eV per atom. The total moment is 0.0 μB/f.u. The value obtained for the energy relative to the lowest polymorph listed for this composition is 1876 meV/atom. The formation energy (no corrections) is -0.253 eV per atom.

Lattice parameters (Å, degrees): 5.9760 5.9760 5.9760 90.00 90.00 90.00
Closest atoms and distances in Å follow each position.
Space group Fm-3m (No. 225)
Inequivalent atoms, fractional coordinates:
Al (0.0000, 0.0000, 0.0000) [4 per cell]  8 O 2.59
Tl (0.0000, 0.0000, 0.5000) [4 per cell]  8 O 2.59
O (0.2500, 0.2500, 0.2500) [8 per cell]  4 Tl 2.59, 4 Al 2.59

(8)
The following is a PBE calculation of a geometry-optimized Y2HfSiP structure, from Alexandria via LeMat-Bulk.

Output
Its crystal system is tetragonal. The calculated total energy is -6.093 eV/atom. The density of states at the Fermi level is 1.181 states/eV per atom. The total moment is 0.0 μB/f.u. The formation energy (no corrections) is 0.650 eV per atom.

Lattice parameters (Å, degrees): 5.5461 5.5461 4.7729 90.00 90.00 90.00
Closest atoms and distances in Å follow each position.
Space group P4/mmm (No. 123)
Inequivalent atoms, fractional coordinates:
Y (0.0000, 0.5000, 0.0000) [2 per cell]  2 Hf 2.77
Hf (0.0000, 0.0000, 0.0000) [1 per cell]  2 P 2.39
Si (0.5000, 0.5000, 0.5000) [1 per cell]  8 Y 3.66, 4 P 3.92
P (0.0000, 0.0000, 0.5000) [1 per cell]  2 Hf 2.39

(9)
The following is a PBE calculation of a geometry-optimized Ac2Si6Pt3 structure, from Alexandria via LeMat-Bulk.

Output
Its crystal system is hexagonal. The calculated total energy is -6.117 eV/atom. The density of states at the Fermi level is 0.174 states/eV per atom. The total moment is 0.0 μB/f.u. The formation energy (no corrections) is -0.764 eV per atom.

Lattice parameters (Å, degrees): 7.5785 7.5785 4.3510 90.00 90.00 120.00
Closest atoms and distances in Å follow each position.
Space group P-62m (No. 189)
Inequivalent atoms, fractional coordinates:
Ac (0.3333, 0.6667, 0.0000) [2 per cell]  9 Si 3.22-3.34, 6 Pt 3.34
Si (0.0000, 0.1884, 0.0000) [3 per cell]  2 Pt 2.43, 2 Si 2.47
Si (0.0000, 0.6687, 0.5000) [3 per cell]  3 Pt 2.51-2.55
Pt (0.0000, 0.3320, 0.5000) [3 per cell]  5 Si 2.43-2.55

(10)
The following is a PBE calculation of a geometry-optimized MgTa4Be structure, from Alexandria via LeMat-Bulk.

Output
Its crystal system is cubic. The calculated total energy is -8.102 eV/atom. The density of states at the Fermi level is 0.859 states/eV per atom. The total moment is 0.0 μB/f.u. The formation energy comes out at 0.687 eV per atom.

Lattice parameters (Å, degrees): 7.7298 7.7298 7.7298 90.00 90.00 90.00
Closest atoms and distances in Å follow each position.
Space group F-43m (No. 216)
Inequivalent atoms, fractional coordinates:
Mg (0.0000, 0.0000, 0.0000) [4 per cell]  12 Ta 3.20, 4 Be 3.35
Ta (0.1254, 0.1254, 0.6254) [16 per cell]  6 Ta 2.72-2.74
Be (0.2500, 0.2500, 0.2500) [4 per cell]  12 Ta 3.21, 4 Mg 3.35